Compound: DyGaNiPt
Source: OQMD
Functional: PBE-GGA
Structure: relaxed

Unit cell a=4.279 b=4.279 c=8.947 alpha=90.00 beta=90.00 gamma=120.00
Atoms (fractional coordinates):
Dy 0.333 0.667 0.240
Dy 0.667 0.333 0.760
Ni 0.333 0.667 0.934
Ni 0.667 0.333 0.066
Pt 0.333 0.667 0.594
Pt 0.667 0.333 0.406
Ga 0.000 0.000 0.500
Ga 0.000 0.000 0.000

DFT total energy: -0.4131 Ry/atom
E above lowest polymorph: 0.014 eV/atom

Compound: DyGaNiPt
Source: OQMD
Functional: PBE-GGA
Structure: relaxed

Unit cell a=4.290 b=4.290 c=8.920 alpha=90.00 beta=90.00 gamma=120.00
Atoms (fractional coordinates):
Dy 0.667 0.333 0.250
Dy 0.333 0.667 0.750
Ga 0.000 0.000 0.994
Ga 0.000 0.000 0.494
Pt 0.667 0.333 0.580
Pt 0.333 0.667 0.080
Ni 0.333 0.667 0.426
Ni 0.667 0.333 0.926

DFT total energy: -0.4142 Ry/atom
E above lowest polymorph: 0.000 eV/atom

Compound: Dy3GaNiS7
Source: OQMD
Functional: PBE-GGA
Structure: relaxed

Unit cell a=9.541 b=9.541 c=6.176 alpha=90.00 beta=90.00 gamma=120.00
Atoms (fractional coordinates):
S 0.232 0.131 0.770
S 0.565 0.480 0.448
S 0.100 0.232 0.270
S 0.667 0.333 0.972
S 0.520 0.086 0.448
S 0.914 0.435 0.448
S 0.480 0.914 0.948
S 0.869 0.100 0.770
S 0.086 0.565 0.948
S 0.435 0.520 0.948
S 0.900 0.768 0.770
S 0.131 0.900 0.270
S 0.768 0.869 0.270
S 0.333 0.667 0.472
Dy 0.625 0.781 0.678
Dy 0.219 0.843 0.678
Dy 0.375 0.219 0.178
Dy 0.781 0.157 0.178
Dy 0.157 0.375 0.678
Dy 0.843 0.625 0.178
Ni 0.000 0.000 0.504
Ni 0.000 0.000 0.004
Ga 0.333 0.667 0.106
Ga 0.667 0.333 0.606

DFT total energy: -0.4218 Ry/atom